Entry 1:
The following is a DFT calculation (PBE) of a relaxed Sr2AgPd3 crystal.

Lattice parameters (Å, degrees): 5.7185 5.7185 9.1885 90.00 90.00 120.00
Last column: nearest neighbours and their distance in Å.
Element x y z (fractional)
Sr 0.6667 0.3333 0.0669  9 Pd 3.32-3.34, 3 Ag 3.36, 4 Sr 3.37-3.52
Sr 0.6667 0.3333 0.4331  9 Pd 3.32-3.34, 3 Ag 3.36, 4 Sr 3.37-3.52
Sr 0.3333 0.6667 0.5669  9 Pd 3.32-3.34, 3 Ag 3.36, 4 Sr 3.37-3.52
Sr 0.3333 0.6667 0.9331  9 Pd 3.32-3.34, 3 Ag 3.36, 4 Sr 3.37-3.52
Pd 0.8312 0.1688 0.7500  4 Pd 2.82-2.90, 2 Ag 2.84
Pd 0.1688 0.3377 0.2500  4 Pd 2.82-2.90, 2 Ag 2.84
Pd 0.8312 0.6623 0.7500  4 Pd 2.82-2.90, 2 Ag 2.84
Pd 0.3377 0.1688 0.7500  4 Pd 2.82-2.90, 2 Ag 2.84
Pd 0.1688 0.8312 0.2500  4 Pd 2.82-2.90, 2 Ag 2.84
Pd 0.6623 0.8312 0.2500  4 Pd 2.82-2.90, 2 Ag 2.84
Ag 0.0000 0.0000 0.5000  6 Pd 2.84
Ag 0.0000 0.0000 0.0000  6 Pd 2.84

Summary:
* energy relative to the elements: -0.533 eV per atom
* size of the total moment: 0.00 μB/atom
* calculated density: 7.69 g cm⁻³
* space group: No. 194
* V: 260 Å³/cell

=====

Entry 2:
The following is a DFT calculation (PBE) of a relaxed Er8ZnCo2 crystal.

Lattice parameters (Å, degrees): 5.3230 7.6612 7.6612 113.29 97.62 97.62
Last column: nearest neighbours and their distance in Å.
Element x y z (fractional)
Er 0.0000 0.7596 0.2468  2 Co 2.78-2.79, 1 Zn 3.12
Er 0.8048 0.6237 0.6237  2 Co 2.99, 1 Zn 3.11, 3 Er 3.24-3.29
Er 0.4190 0.9351 0.6720  2 Co 2.78
Er 0.1951 0.3822 0.3822  2 Co 2.99, 1 Zn 3.11, 3 Er 3.24-3.29
Er 0.0000 0.2468 0.7596  2 Co 2.78-2.79, 1 Zn 3.12
Er 0.5811 0.0712 0.3343  2 Co 2.78
Er 0.4190 0.6720 0.9351  2 Co 2.78
Er 0.5811 0.3343 0.0712  2 Co 2.78
Co 0.4999 0.3108 0.6954  8 Er 2.78-2.99
Co 0.4999 0.6954 0.3108  8 Er 2.78-2.99
Zn 0.9997 0.0029 0.0029  4 Er 3.11-3.12

Summary:
* energy relative to the elements: -0.078 eV per atom
* size of the total moment: 0.00 μB/atom
* calculated density: 9.07 g cm⁻³
* space group: No. 12
* V: 278 Å³/cell

=====

Entry 3:
The following is a DFT calculation (PBE) of a relaxed ZrV3Ag crystal.

Lattice parameters (Å, degrees): 4.6836 4.6836 4.6836 90.00 90.00 90.00
Last column: nearest neighbours and their distance in Å.
Element x y z (fractional)
V 0.0000 0.5000 0.0000  2 Zr 2.34
V 0.0000 0.0000 0.5000  2 Zr 2.34
V 0.5000 0.0000 0.0000  2 Zr 2.34
Zr 0.0000 0.0000 0.0000  6 V 2.34
Ag 0.5000 0.5000 0.5000  12 V 3.31

Summary:
* energy relative to the elements: 1.658 eV per atom
* size of the total moment: 0.76 μB/atom
* calculated density: 5.69 g cm⁻³
* space group: No. 221
* V: 103 Å³/cell

=====

Entry 4:
The following is a DFT calculation (PBE) of a relaxed Sr3YTe crystal.

Lattice parameters (Å, degrees): 6.2890 6.2890 6.2890 90.00 90.00 90.00
Last column: nearest neighbours and their distance in Å.
Element x y z (fractional)
Te 0.0000 0.0000 0.0000  6 Sr 3.14
Sr 0.5000 0.0000 0.0000  2 Te 3.14
Sr 0.0000 0.5000 0.0000  2 Te 3.14
Sr 0.0000 0.0000 0.5000  2 Te 3.14
Y 0.5000 0.5000 0.5000  12 Sr 4.45

Summary:
* size of the total moment: 0.15 μB/atom
* calculated density: 3.20 g cm⁻³
* space group: No. 221
* energy relative to the elements, uncorrected: -95 kJ/mol of formula units
* V: 249 Å³/cell

=====

What is the size of the total moment in the third record?
0.76 μB/atom